Material: NbGaAu
Method: DFT, GGA-PBE
State: relaxed

Lattice parameters (Å, degrees): 4.438 4.438 4.438 60.00 60.00 60.00
Sites, in units of the cell vectors:
Nb (0.000, 0.000, 0.000)
Ga (0.250, 0.250, 0.250)
Au (0.750, 0.750, 0.750)

energy = -15.54 eV/cell
symmetry = F-43m (216)

---

Material: Nb2GaAu
Method: DFT, GGA-PBE
State: relaxed

Lattice parameters (Å, degrees): 4.640 4.640 4.640 60.00 60.00 60.00
Sites, in units of the cell vectors:
Nb (0.000, 0.000, 0.000)
Nb (0.250, 0.250, 0.250)
Ga (0.500, 0.500, 0.500)
Au (0.750, 0.750, 0.750)

energy = -25.80 eV/cell
symmetry = F-43m (216)

---

Material: NdGa3Au4
Method: DFT, GGA-PBE
State: relaxed

Lattice parameters (Å, degrees): 5.414 4.418 6.880 90.00 91.72 90.00
Sites, in units of the cell vectors:
Nd (0.000, 0.000, 0.000)
Ga (0.191, 0.000, 0.473)
Ga (0.484, 0.500, 0.116)
Ga (0.700, 0.500, 0.645)
Au (0.009, 0.500, 0.294)
Au (0.179, 0.500, 0.710)
Au (0.505, 0.000, 0.808)
Au (0.656, 0.000, 0.370)

energy = -29.94 eV/cell
symmetry = Pm (6)